1.
A relaxed Sc2NiW crystal, computed with PBE.

As for the formation energy from the elements: 0.13 eV/f.u. The value obtained for the electronic total energy is -7.817 eV/atom. The calculation puts the energy above the most stable polymorph in this dataset at 5.7 kJ per mole of atoms. The total moment is 0.00 μB/f.u.

The structure belongs to space group Cmm2 (No. 35); the cell edges are 4.136, 4.148 and 8.396 Å and the angles 90.00°, 90.00° and 90.00°. The asymmetric unit holds Sc at (0.000, 0.000, 0.000), Sc at (0.000, 0.500, 0.340), Ni at (0.000, 0.500, 0.781) and W at (0.000, 0.000, 0.593).

***

2.
A relaxed Sc2NiW crystal, computed with PBE.

As for the formation energy from the elements: 1.27 eV/f.u. The value obtained for the electronic total energy is -7.532 eV/atom. The calculation puts the energy above the most stable polymorph in this dataset at 33.2 kJ per mole of atoms. The total moment is 0.02 μB/f.u.

The structure belongs to space group F-43m (No. 216); the cell edges are 6.463, 6.463 and 6.463 Å and the angles 90.00°, 90.00° and 90.00°. The asymmetric unit holds Sc at (0.000, 0.000, 0.000), Sc at (0.250, 0.250, 0.250), Ni at (0.250, 0.250, 0.750) and W at (0.000, 0.000, 0.500).